Entry 1:
A plane-wave DFT calculation with SCAN was carried out for LiSiN3 at its PBEsol-relaxed geometry.

Values from the calculation:
E_form (uncorrected), eV per atom: 0.385
SG: No. 221

Cell: 3.5852 3.5852 3.5852 Å, 90.00 90.00 90.00°
Last column: nearest neighbours and their distance in Å.
Sites, in units of the cell vectors:
Li1 0.0000 0.0000 0.0000  12 N 2.54
Si1 0.5000 0.5000 0.5000  6 N 1.79
N1 0.0000 0.5000 0.5000  2 Si 1.79
N2 0.5000 0.0000 0.5000  2 Si 1.79
N3 0.5000 0.5000 0.0000  2 Si 1.79

---

Entry 2:
A plane-wave DFT calculation with SCAN was carried out for MnCdF2 at its PBEsol-relaxed geometry.

Values from the calculation:
E_form (uncorrected), eV per atom: -1.271
SG: No. 225

Cell: 4.2586 4.2586 4.2586 Å, 60.00 60.00 60.00°
Last column: nearest neighbours and their distance in Å.
Sites, in units of the cell vectors:
Mn1 0.0000 0.0000 0.0000  8 F 2.61
Cd1 0.5000 0.5000 0.5000  8 F 2.61
F1 0.2500 0.2500 0.2500  4 Cd 2.61, 4 Mn 2.61
F2 0.7500 0.7500 0.7500  4 Cd 2.61, 4 Mn 2.61

---

Entry 3:
A plane-wave DFT calculation with SCAN was carried out for Ca4MnW at its PBEsol-relaxed geometry.

Values from the calculation:
Energy of formation, eV per atom: 1.276
SG: No. 216

Cell: 6.1777 6.1777 6.1777 Å, 60.00 60.00 60.00°
Last column: nearest neighbours and their distance in Å.
Sites, in units of the cell vectors:
Ca1 0.1245 0.1245 0.1245  6 Ca 3.08-3.10
Ca2 0.1245 0.1245 0.6265  6 Ca 3.08-3.10
Ca3 0.1245 0.6265 0.1245  6 Ca 3.08-3.10
Ca4 0.6265 0.1245 0.1245  6 Ca 3.08-3.10
Mn1 0.5000 0.5000 0.5000  12 Ca 3.62, 4 W 3.78
W1 0.7500 0.7500 0.7500  12 Ca 3.62, 4 Mn 3.78

---

Spin magnetization in μB/cell, matching the order above: 2.78; 4.64; 9.01